[1]
15
Lattice="-3.2464 -7.3980 1.3529 6.9770 2.1526 3.7138 -7.0282 3.4778 2.1540" Properties=species:S:1:pos:R:3 comment="PBE-GGA LiCa3La3S8, relaxed" e_form_raw_ev_per_atom=-1.9811 pbc="T T T"
Ca 3.4885 1.0763 1.8569
S 0.9835 2.9349 5.6260
Ca 1.8653 -2.6227 2.5333
S -0.6900 -0.8784 6.3235
S -2.6131 1.8253 3.7109
Ca 0.0000 0.0000 0.0000
La -1.6488 -0.8838 3.6103
S -4.2810 -4.7025 1.5946
Li -3.5141 1.7389 1.0770
S -4.2433 -1.8456 4.5250
S -0.6844 -3.5929 3.5097
La -0.0256 2.8152 2.9339
La -5.1373 -1.9601 1.7534
S 0.9457 0.0780 2.6956
S -2.6075 -0.8893 0.8972


[2]
7
Lattice="-3.1511 3.5841 0.1279 -4.3597 -0.5872 -1.8546 -5.6511 -2.0668 7.7940" Properties=species:S:1:pos:R:3 comment="PBE-GGA Li2Ca2LaSb2, relaxed" e_form_raw_ev_per_atom=-0.7085 pbc="T T T"
Li -5.7744 1.2506 0.8891
Sb -9.9809 0.5908 4.8417
La 0.0000 0.0000 0.0000
Sb -3.1809 0.3392 1.2255
Li -7.3874 -0.3205 5.1782
Ca -8.7610 1.7791 1.5979
Ca -4.4008 -0.8490 4.4694


[3]
12
Lattice="-5.5772 4.5688 1.2889 1.9306 -4.9380 5.0526 5.6082 4.6962 0.6751" Properties=species:S:1:pos:R:3 comment="PBE-GGA LiCa3La2Se6, relaxed" e_form_raw_ev_per_atom=-1.9007 pbc="T T T"
Se 2.6830 1.6723 5.8892
Ca -1.5214 5.3319 2.2539
Ca 3.4830 -1.0050 4.7626
Se 1.7430 -0.4661 2.3628
La -3.0737 1.3988 2.5439
Se -0.7214 2.6546 1.1273
Ca 0.9808 2.1635 3.5083
Li 0.0000 0.0000 0.0000
Se 3.3038 3.4216 2.0524
Se 0.2185 4.7930 4.6538
La -0.5728 -1.7680 3.7976
Se -1.3422 0.9053 4.9642


[4]
7
Lattice="4.5850 0.0000 0.0000 2.2925 3.9707 0.0000 2.2925 1.3236 9.1272" Properties=species:S:1:pos:R:3 comment="PBE-GGA Li2CaLa2Si2, relaxed" e_form_raw_ev_per_atom=-0.3788 pbc="T T T"
La 6.8774 3.9707 3.6078
Si 6.8774 3.9707 7.1147
Li 4.5850 2.6471 7.3292
Ca 0.0000 0.0000 0.0000
La 2.2925 1.3236 5.5194
Li 4.5850 2.6471 1.7979
Si 2.2925 1.3236 2.0125


[5]
4
Lattice="-0.1655 -4.1121 -3.1937 3.7075 -3.6502 0.2591 -1.1221 -4.7227 1.8904" Properties=species:S:1:pos:R:3 comment="PBE-GGA LiCaLaSi, relaxed" e_form_raw_ev_per_atom=-0.3065 pbc="T T T"
Si 1.8149 -9.3637 -0.7831
La 0.0000 0.0000 0.0000
Li 0.6050 -3.1212 -0.2610
Ca 1.2100 -6.2425 -0.5221


[6]
7
Lattice="4.5933 0.0000 0.0000 2.2967 3.9779 0.0000 2.2967 1.3260 9.2795" Properties=species:S:1:pos:R:3 comment="PBE-GGA Li2Ca2LaSi2, relaxed" e_form_raw_ev_per_atom=-0.3814 pbc="T T T"
Si 6.8900 3.9779 7.2943
La 0.0000 0.0000 0.0000
Si 2.2967 1.3260 1.9853
Ca 6.8900 3.9779 3.5447
Li 4.5933 2.6520 7.2642
Ca 2.2967 1.3260 5.7348
Li 4.5933 2.6520 2.0153


[7]
7
Lattice="-4.1324 2.5686 0.6917 -4.3656 -2.0971 -0.8346 -3.1415 -2.7241 8.8070" Properties=species:S:1:pos:R:3 comment="PBE-GGA Li2Ca2LaSn2, relaxed" formation_enthalpy_0k_ev_per_atom=-0.535 pbc="T T T"
Sn -2.9000 -0.4713 1.8836
Li -5.9060 -1.9309 6.8048
Ca -8.6188 -0.6546 3.3178
Sn -8.7395 -1.7814 6.7805
Ca -3.0208 -1.5980 5.3463
La 0.0000 0.0000 0.0000
Li -5.7336 -0.3217 1.8593


[8]
5
Lattice="5.3880 0.0000 0.0000 0.0000 5.3880 0.0000 0.0000 0.0000 5.9543" Properties=species:S:1:pos:R:3 comment="PBE-GGA LiCaLa2Tc, relaxed" formation_enthalpy_0k_ev_per_atom=0.109 pbc="T T T"
Tc 0.0000 0.0000 0.0000
La 0.0000 2.6940 0.0000
La 2.6940 0.0000 0.0000
Ca 0.0000 0.0000 2.9772
Li 2.6940 2.6940 2.9772


[9]
15
Lattice="9.0894 0.0000 0.0000 -4.5447 7.8715 -0.0268 0.0000 -5.2225 7.4052" Properties=species:S:1:pos:R:3 comment="PBE-GGA LiCa3La3Te8, relaxed" e_form_raw_ev_per_atom=-1.4795 pbc="T T T"
Te -2.3178 3.9808 5.4851
Te 0.0000 2.6300 1.7826
Te 0.0000 -0.0344 5.4983
Te 2.3178 3.9808 5.4851
Te 2.2269 -1.3317 1.8933
Te 4.5447 0.0191 5.5958
Te 6.8625 -1.3317 1.8933
Ca -2.2724 3.9358 -0.0134
Te 4.5447 2.6835 1.8801
La 2.2723 1.3245 3.6892
Li 0.0000 -2.6112 3.7026
Ca 0.0000 0.0000 0.0000
La 4.5447 -2.6112 3.7026
La -2.2724 1.3245 3.6892
Ca 2.2723 3.9358 -0.0134


[10]
12
Lattice="7.8261 -0.0012 -0.0029 -3.9122 6.7781 -0.0029 -1.3085 -2.2656 7.3954" Properties=species:S:1:pos:R:3 comment="PBE-GGA LiCa3La2Te6, relaxed" e_form_raw_ev_per_atom=-1.5303 pbc="T T T"
Te 2.5480 -0.0046 1.8490
La 0.0120 4.5117 -0.0029
Ca 1.3027 2.2556 3.6948
Ca -2.5783 4.4970 3.6948
Te -0.0311 -0.0538 5.5230
Ca 5.1837 0.0142 3.6948
Te 0.0574 4.5159 5.5406
Te -1.2774 2.2047 1.8490
Li 0.0000 0.0000 0.0000
Te 2.6365 4.5650 1.8666
Te 3.8828 2.3065 5.5406
La 3.9019 2.2651 -0.0029


[11]
8
Lattice="4.5278 0.0000 0.0000 0.0000 7.7986 -0.1446 0.0000 2.7535 7.3148" Properties=species:S:1:pos:R:3 comment="PBE-GGA LiCaLa2Te4, relaxed" e_form_raw_ev_per_atom=-1.4843 pbc="T T T"
Li 2.2639 3.8993 -0.0723
La 0.0000 2.7535 7.3148
La 2.2639 1.3768 3.6574
Te 2.2639 6.4454 1.7142
Te 4.5278 2.7134 1.7310
Te 2.2639 4.1067 5.4560
Ca 0.0000 5.2760 3.5852
Te 0.0001 7.8387 5.4392


[12]
5
Lattice="5.4903 0.0000 0.0000 0.0000 5.6123 0.0000 0.0000 0.0000 5.4903" Properties=species:S:1:pos:R:3 comment="PBE-GGA LiCaLa2Ti, relaxed" formation_enthalpy_0k_ev_per_atom=0.476 pbc="T T T"
Li 0.0000 2.8062 0.0000
Ca 2.7451 2.8062 2.7451
La 0.0000 0.0000 2.7451
La 2.7451 0.0000 0.0000
Ti 0.0000 0.0000 0.0000